1.
This record from Alexandria via LeMat-Bulk describes crystalline Pr2AlO3 at its relaxed geometry. The functional is PBE-GGA.

```
6
Lattice="-1.8337 1.8634 6.3595 1.8337 -1.8634 6.3595 1.8337 1.8634 -6.3595" Properties=species:S:1:pos:R:3 pbc="T T T"
Pr 0.0000 0.0000 1.8934
Pr 0.0000 0.0000 10.8257
Al 0.0000 0.0000 6.3595
O 1.8337 0.0000 0.0000
O 0.0000 0.0000 4.3890
O 0.0000 0.0000 8.3300
```

Formation energy (no corrections), eV per atom: -2.532
Energy, eV for the cell shown: -43.4
Calculated volume, Å³ per cell: 86.9


2.
This record from Alexandria via LeMat-Bulk describes crystalline Pr2AlO at its relaxed geometry. The functional is PBE-GGA.

```
4
Lattice="1.7904 1.0337 9.1816 -1.7904 1.0337 9.1816 0.0000 -2.0673 9.1816" Properties=species:S:1:pos:R:3 pbc="T T T"
Pr 0.0000 0.0000 3.1435
Pr 0.0000 0.0000 24.4013
Al 0.0000 0.0000 0.0000
O 0.0000 0.0000 13.7724
```

Formation energy (no corrections), eV per atom: -0.963
Energy, eV for the cell shown: -22.1
Calculated volume, Å³ per cell: 102.0


| no. | DOS(E_F) (states/eV/atom) |
| --- | --- |
| 1 | 0.4701 |
| 2 | 0.7858 |